A geometry-optimized TcRuN structure. Source: Alexandria via LeMat-Bulk, functional PBE.

Geometry as extended XYZ:
```
3
Lattice="3.742 0.000 0.000 -1.871 3.240 0.000 0.000 0.000 2.874" Properties=species:S:1:pos:R:3 pbc="T T T"
Tc 0.000 0.000 0.000
Ru 1.871 1.080 1.437
N 0.000 2.160 1.437
```

Values from the calculation:
- Mass density: 10.2 g/cm3
- Offset from the most stable computed form: 579 meV per atom
- Space group: P-6m2

---

A geometry-optimized As2CSBr structure. Source: Alexandria via LeMat-Bulk, functional PBE.

Geometry as extended XYZ:
```
5
Lattice="4.484 0.000 0.000 0.000 4.484 0.000 0.000 0.000 4.479" Properties=species:S:1:pos:R:3 pbc="T T T"
As 0.000 2.242 0.000
As 2.242 0.000 0.000
C 0.000 0.000 0.000
S 2.242 2.242 2.240
Br 0.000 0.000 2.240
```

Values from the calculation:
- Mass density: 5.0 g/cm3
- Offset from the most stable computed form: 0 meV per atom
- Space group: P4/mmm

---

A geometry-optimized Hf2Hg structure. Source: Alexandria via LeMat-Bulk, functional PBE.

Geometry as extended XYZ:
```
6
Lattice="2.618 -7.665 0.000 2.618 7.665 0.000 0.000 0.000 3.262" Properties=species:S:1:pos:R:3 pbc="T T T"
Hf 2.618 6.313 2.446
Hf 2.618 3.742 0.815
Hf 2.618 -3.742 2.446
Hf 2.618 -6.313 0.815
Hg 2.618 1.252 2.446
Hg 2.618 -1.252 0.815
```

Values from the calculation:
- Mass density: 14.1 g/cm3
- Offset from the most stable computed form: 186 meV per atom
- Space group: Cmcm

---

A geometry-optimized LaPrLuZn structure. Source: Alexandria via LeMat-Bulk, functional PBE.

Geometry as extended XYZ:
```
4
Lattice="0.000 3.869 3.869 3.869 0.000 3.869 3.869 3.869 0.000" Properties=species:S:1:pos:R:3 pbc="T T T"
La 0.000 0.000 0.000
Pr 3.869 3.869 3.869
Lu 5.804 5.804 5.804
Zn 1.935 1.935 1.935
```

Values from the calculation:
- Mass density: 7.5 g/cm3
- Space group: F-43m
- Final energy: -0.2855 Ry per atom

---

A geometry-optimized Ag2AsPdO4 structure. Source: Alexandria via LeMat-Bulk, functional PBE.

Geometry as extended XYZ:
```
8
Lattice="5.050 0.000 0.000 -0.675 5.486 0.000 -1.692 -2.991 4.370" Properties=species:S:1:pos:R:3 pbc="T T T"
Ag 0.000 0.000 0.000
Ag 0.152 2.449 2.347
As 2.484 -0.028 2.297
Pd 1.860 1.936 0.004
O 0.885 4.413 1.276
O 1.457 0.697 3.515
O 3.274 1.267 1.385
O 3.740 -1.023 2.948
```

Values from the calculation:
- Mass density: 6.3 g/cm3
- Space group: P1
- Final energy: -0.3615 Ry per atom

---

A geometry-optimized La4CuSeI2 structure. Source: Alexandria via LeMat-Bulk, functional PBE.

Geometry as extended XYZ:
```
8
Lattice="7.609 0.000 0.000 0.000 4.261 0.000 -2.465 0.000 7.886" Properties=species:S:1:pos:R:3 pbc="T T T"
La 1.213 0.000 1.593
La 0.068 2.130 6.251
La 5.077 2.130 1.636
La 3.931 0.000 6.294
Cu 0.000 2.130 0.000
Se 3.804 0.000 0.000
I -1.232 0.000 3.943
I 2.572 2.130 3.943
```

Values from the calculation:
- Mass density: 6.2 g/cm3
- Space group: P2/m
- Final energy: -0.3566 Ry per atom